Record 1
Here is crystalline NdY5Er3 at its relaxed geometry from Alexandria. Energies are from PBE.

Values from the calculation:
The calculation puts the volume at 599.1 Å³/cell. The calculation puts the formation energy at 0.22 eV/atom. The value obtained for the offset from the most stable computed form is 0.000 eV/atom.

abc: 8.676 8.676 11.837
angles: 108.04 108.04 45.55
Element x y z (fractional)
Nd (0.200, 0.800, 0.750)
Nd (0.800, 0.200, 0.250)
Y (0.086, 0.476, 0.737)
Y (0.136, 0.233, 0.952)
Y (0.233, 0.136, 0.452)
Y (0.305, 0.695, 0.250)
Y (0.476, 0.086, 0.237)
Y (0.524, 0.914, 0.763)
Y (0.695, 0.305, 0.750)
Y (0.767, 0.864, 0.548)
Y (0.864, 0.767, 0.048)
Y (0.914, 0.524, 0.263)
Er (0.000, 0.000, 0.000)
Er (0.000, 0.000, 0.500)
Er (0.343, 0.446, 0.489)
Er (0.446, 0.343, 0.989)
Er (0.554, 0.657, 0.011)
Er (0.657, 0.554, 0.511)

---

Record 2
Here is crystalline Nd4Y2Er at its relaxed geometry from Alexandria. Energies are from PBE.

Values from the calculation:
The calculation puts the volume at 244.0 Å³/cell. The calculation puts the formation energy at 0.48 eV/atom. The value obtained for the offset from the most stable computed form is 0.279 eV/atom.

abc: 7.236 7.236 6.034
angles: 90.00 90.00 129.43
Element x y z (fractional)
Nd (0.137, 0.863, 0.000)
Nd (0.308, 0.692, 0.500)
Nd (0.692, 0.308, 0.500)
Nd (0.863, 0.137, 0.000)
Y (0.387, 0.613, 0.000)
Y (0.613, 0.387, 0.000)
Er (0.000, 0.000, 0.500)

---

Record 3
Here is crystalline NdY10Er4 at its relaxed geometry from Alexandria. Energies are from PBE.

Values from the calculation:
The calculation puts the volume at 569.3 Å³/cell. The calculation puts the formation energy at 0.74 eV/atom.

abc: 9.425 9.425 9.425
angles: 99.57 99.57 131.86
Element x y z (fractional)
Nd (0.000, 0.000, 0.000)
Y (0.050, 0.353, 0.899)
Y (0.151, 0.050, 0.698)
Y (0.250, 0.750, 0.500)
Y (0.353, 0.453, 0.302)
Y (0.453, 0.151, 0.101)
Y (0.547, 0.849, 0.899)
Y (0.647, 0.547, 0.698)
Y (0.750, 0.250, 0.500)
Y (0.849, 0.950, 0.302)
Y (0.950, 0.647, 0.101)
Er (0.199, 0.400, 0.600)
Er (0.400, 0.801, 0.201)
Er (0.600, 0.199, 0.799)
Er (0.801, 0.600, 0.400)

---

Record 4
Here is crystalline Nd2Y7Er at its relaxed geometry from Alexandria. Energies are from PBE.

Values from the calculation:
The calculation puts the volume at 335.0 Å³/cell. The calculation puts the formation energy at 0.16 eV/atom. The value obtained for the offset from the most stable computed form is 0.138 eV/atom.

abc: 14.883 14.883 3.526
angles: 90.00 90.00 154.60
Element x y z (fractional)
Nd (0.207, 0.793, 0.000)
Nd (0.793, 0.207, 0.000)
Y (0.000, 0.000, 0.000)
Y (0.157, 0.352, 0.000)
Y (0.314, 0.686, 0.500)
Y (0.352, 0.157, 0.000)
Y (0.648, 0.843, 0.000)
Y (0.686, 0.314, 0.500)
Y (0.843, 0.648, 0.000)
Er (0.500, 0.500, 0.500)

---

Record 5
Here is crystalline Nd2Y4Er3 at its relaxed geometry from Alexandria. Energies are from PBE.

Values from the calculation:
The calculation puts the volume at 581.3 Å³/cell. The calculation puts the formation energy at 0.09 eV/atom.

abc: 10.015 10.015 6.159
angles: 94.93 94.93 71.13
Element x y z (fractional)
Nd (0.025, 0.733, 0.677)
Nd (0.267, 0.975, 0.823)
Nd (0.733, 0.025, 0.177)
Nd (0.975, 0.267, 0.323)
Y (0.078, 0.352, 0.849)
Y (0.312, 0.594, 0.986)
Y (0.352, 0.078, 0.349)
Y (0.406, 0.688, 0.514)
Y (0.594, 0.312, 0.486)
Y (0.648, 0.922, 0.651)
Y (0.688, 0.406, 0.014)
Y (0.922, 0.648, 0.151)
Er (0.096, 0.904, 0.250)
Er (0.236, 0.433, 0.408)
Er (0.433, 0.236, 0.908)
Er (0.567, 0.764, 0.092)
Er (0.764, 0.567, 0.592)
Er (0.904, 0.096, 0.750)

---

Record 6
Here is crystalline Nd7Y12Er at its relaxed geometry from Alexandria. Energies are from PBE.

Values from the calculation:
The calculation puts the volume at 730.9 Å³/cell. The calculation puts the formation energy at 0.63 eV/atom. The value obtained for the offset from the most stable computed form is 0.402 eV/atom.

abc: 9.829 9.829 9.829
angles: 109.47 109.47 109.47
Element x y z (fractional)
Nd (0.000, 0.000, 0.500)
Nd (0.000, 0.500, 0.000)
Nd (0.000, 0.500, 0.500)
Nd (0.500, 0.000, 0.000)
Nd (0.500, 0.000, 0.500)
Nd (0.500, 0.500, 0.000)
Nd (0.500, 0.500, 0.500)
Y (0.000, 0.246, 0.754)
Y (0.000, 0.754, 0.246)
Y (0.246, 0.000, 0.754)
Y (0.246, 0.246, 0.493)
Y (0.246, 0.493, 0.246)
Y (0.246, 0.754, 0.000)
Y (0.493, 0.246, 0.246)
Y (0.507, 0.754, 0.754)
Y (0.754, 0.000, 0.246)
Y (0.754, 0.246, 0.000)
Y (0.754, 0.507, 0.754)
Y (0.754, 0.754, 0.507)
Er (0.000, 0.000, 0.000)

---

Record 7
Here is crystalline Nd6Y4Er at its relaxed geometry from Alexandria. Energies are from PBE.

Values from the calculation:
The calculation puts the volume at 385.3 Å³/cell. The calculation puts the formation energy at 0.31 eV/atom. The value obtained for the offset from the most stable computed form is 0.193 eV/atom.

abc: 9.561 9.561 9.561
angles: 138.12 138.12 60.72
Element x y z (fractional)
Nd (0.000, 0.500, 0.500)
Nd (0.014, 0.632, 0.000)
Nd (0.368, 0.368, 0.382)
Nd (0.500, 0.000, 0.500)
Nd (0.632, 0.014, 0.000)
Nd (0.986, 0.986, 0.618)
Y (0.210, 0.210, 0.649)
Y (0.440, 0.790, 0.000)
Y (0.560, 0.560, 0.351)
Y (0.790, 0.440, 0.000)
Er (0.000, 0.000, 0.000)

---

Record 8
Here is crystalline Nd5Y3Er at its relaxed geometry from Alexandria. Energies are from PBE.

Values from the calculation:
The calculation puts the volume at 691.4 Å³/cell. The calculation puts the formation energy at 0.49 eV/atom. The value obtained for the offset from the most stable computed form is 0.219 eV/atom.

abc: 9.665 9.665 9.949
angles: 120.40 120.40 74.85
Element x y z (fractional)
Nd (0.098, 0.603, 0.260)
Nd (0.228, 0.228, 0.237)
Nd (0.247, 0.753, 0.000)
Nd (0.275, 0.275, 0.953)
Nd (0.397, 0.902, 0.740)
Nd (0.603, 0.098, 0.260)
Nd (0.725, 0.725, 0.047)
Nd (0.753, 0.247, 0.000)
Nd (0.772, 0.772, 0.763)
Nd (0.902, 0.397, 0.740)
Y (0.000, 0.000, 0.500)
Y (0.008, 0.008, 0.825)
Y (0.485, 0.485, 0.648)
Y (0.500, 0.500, 0.000)
Y (0.515, 0.515, 0.352)
Y (0.992, 0.992, 0.175)
Er (0.248, 0.248, 0.594)
Er (0.752, 0.752, 0.406)

---

Record 9
Here is crystalline NdYErZn at its relaxed geometry from Alexandria. Energies are from PBE.

Values from the calculation:
The calculation puts the volume at 110.6 Å³/cell. The calculation puts the formation energy at 0.03 eV/atom. The value obtained for the offset from the most stable computed form is 0.202 eV/atom.

abc: 5.388 5.388 5.388
angles: 60.00 60.00 60.00
Element x y z (fractional)
Nd (0.000, 0.000, 0.000)
Y (0.500, 0.500, 0.500)
Er (0.250, 0.250, 0.250)
Zn (0.750, 0.750, 0.750)

---

Record 10
Here is crystalline NdYErZn at its relaxed geometry from Alexandria. Energies are from PBE.

Values from the calculation:
The calculation puts the volume at 112.1 Å³/cell. The calculation puts the formation energy at -0.17 eV/atom. The value obtained for the offset from the most stable computed form is 0.000 eV/atom.

abc: 3.579 3.579 8.752
angles: 90.00 90.00 90.00
Element x y z (fractional)
Nd (0.000, 0.000, 0.000)
Y (0.500, 0.500, 0.698)
Er (0.500, 0.500, 0.295)
Zn (0.000, 0.000, 0.492)

---

Record 11
Here is crystalline NdYErZr at its relaxed geometry from Alexandria. Energies are from PBE.

Values from the calculation:
The calculation puts the volume at 119.3 Å³/cell. The calculation puts the formation energy at 0.22 eV/atom.

abc: 5.526 5.526 5.526
angles: 60.00 60.00 60.00
Element x y z (fractional)
Nd (0.000, 0.000, 0.000)
Y (0.750, 0.750, 0.750)
Er (0.250, 0.250, 0.250)
Zr (0.500, 0.500, 0.500)

---

Record 12
Here is crystalline Nd3Er4Zn at its relaxed geometry from Alexandria. Energies are from PBE.

Values from the calculation:
The calculation puts the volume at 241.5 Å³/cell. The calculation puts the formation energy at -0.07 eV/atom.

abc: 3.574 3.574 18.907
angles: 90.00 90.00 90.00
Element x y z (fractional)
Nd (0.000, 0.000, 0.000)
Nd (0.000, 0.000, 0.270)
Nd (0.000, 0.000, 0.730)
Er (0.500, 0.500, 0.135)
Er (0.500, 0.500, 0.408)
Er (0.500, 0.500, 0.592)
Er (0.500, 0.500, 0.865)
Zn (0.000, 0.000, 0.500)

---

Record 13
Here is crystalline NdErZn4 at its relaxed geometry from Alexandria. Energies are from PBE.

Values from the calculation:
The calculation puts the volume at 125.8 Å³/cell. The calculation puts the formation energy at -0.35 eV/atom. The value obtained for the offset from the most stable computed form is 0.000 eV/atom.

abc: 5.754 5.754 5.754
angles: 133.96 102.70 94.93
Element x y z (fractional)
Nd (0.000, 0.000, 0.000)
Er (0.500, 0.000, 0.500)
Zn (0.090, 0.334, 0.756)
Zn (0.423, 0.666, 0.756)
Zn (0.577, 0.334, 0.244)
Zn (0.910, 0.666, 0.244)

---

Record 14
Here is crystalline NdErZn4 at its relaxed geometry from Alexandria. Energies are from PBE.

Values from the calculation:
The calculation puts the volume at 118.0 Å³/cell. The calculation puts the formation energy at -0.32 eV/atom. The value obtained for the offset from the most stable computed form is 0.030 eV/atom.

abc: 5.506 5.506 5.506
angles: 60.00 60.00 60.00
Element x y z (fractional)
Nd (0.000, 0.000, 0.000)
Er (0.750, 0.750, 0.750)
Zn (0.375, 0.375, 0.375)
Zn (0.375, 0.375, 0.874)
Zn (0.375, 0.874, 0.375)
Zn (0.874, 0.375, 0.375)

---

Record 15
Here is crystalline Nd2Er2Zn at its relaxed geometry from Alexandria. Energies are from PBE.

Values from the calculation:
The calculation puts the volume at 145.4 Å³/cell. The calculation puts the formation energy at -0.13 eV/atom.

abc: 11.653 11.653 11.653
angles: 162.35 162.35 25.06
Element x y z (fractional)
Nd (0.191, 0.191, 0.000)
Nd (0.809, 0.809, 0.000)
Er (0.424, 0.424, 0.000)
Er (0.576, 0.576, 0.000)
Zn (0.000, 0.000, 0.000)

---

Record 16
Here is crystalline Nd4Er3Zn at its relaxed geometry from Alexandria. Energies are from PBE.

Values from the calculation:
The calculation puts the volume at 248.1 Å³/cell. The calculation puts the formation energy at -0.06 eV/atom.

abc: 3.643 3.643 18.698
angles: 90.00 90.00 90.00
Element x y z (fractional)
Nd (0.000, 0.000, 0.099)
Nd (0.000, 0.000, 0.367)
Nd (0.000, 0.000, 0.633)
Nd (0.000, 0.000, 0.901)
Er (0.500, 0.500, 0.235)
Er (0.500, 0.500, 0.500)
Er (0.500, 0.500, 0.765)
Zn (0.500, 0.500, 0.000)

---

Record 17
Here is crystalline NdEr5Zn6 at its relaxed geometry from Alexandria. Energies are from PBE.

Values from the calculation:
The calculation puts the volume at 271.4 Å³/cell. The calculation puts the formation energy at -0.34 eV/atom.

abc: 7.963 7.963 7.152
angles: 90.00 90.00 143.24
Element x y z (fractional)
Nd (0.000, 0.000, 0.000)
Er (0.000, 0.000, 0.500)
Er (0.331, 0.669, 0.000)
Er (0.335, 0.665, 0.500)
Er (0.665, 0.335, 0.500)
Er (0.669, 0.331, 0.000)
Zn (0.170, 0.830, 0.257)
Zn (0.170, 0.830, 0.743)
Zn (0.500, 0.500, 0.258)
Zn (0.500, 0.500, 0.742)
Zn (0.830, 0.170, 0.257)
Zn (0.830, 0.170, 0.743)

---

Record 18
Here is crystalline Nd12Er3Zn at its relaxed geometry from Alexandria. Energies are from PBE.

Values from the calculation:
The calculation puts the volume at 526.1 Å³/cell. The calculation puts the formation energy at 0.01 eV/atom.

abc: 5.069 5.069 20.472
angles: 90.00 90.00 90.00
Element x y z (fractional)
Nd (0.000, 0.000, 0.000)
Nd (0.000, 0.000, 0.244)
Nd (0.000, 0.000, 0.500)
Nd (0.000, 0.000, 0.756)
Nd (0.000, 0.500, 0.119)
Nd (0.000, 0.500, 0.373)
Nd (0.000, 0.500, 0.627)
Nd (0.000, 0.500, 0.881)
Nd (0.500, 0.000, 0.119)
Nd (0.500, 0.000, 0.373)
Nd (0.500, 0.000, 0.627)
Nd (0.500, 0.000, 0.881)
Er (0.500, 0.500, 0.246)
Er (0.500, 0.500, 0.500)
Er (0.500, 0.500, 0.754)
Zn (0.500, 0.500, 0.000)

---

Record 19
Here is crystalline NdEr2Zn2 at its relaxed geometry from Alexandria. Energies are from PBE.

Values from the calculation:
The calculation puts the volume at 249.3 Å³/cell. The calculation puts the formation energy at -0.25 eV/atom. The value obtained for the offset from the most stable computed form is 0.000 eV/atom.

abc: 3.613 5.212 13.363
angles: 90.00 97.77 90.00
Element x y z (fractional)
Nd (0.144, 0.250, 0.287)
Nd (0.856, 0.750, 0.713)
Er (0.047, 0.750, 0.093)
Er (0.233, 0.750, 0.466)
Er (0.767, 0.250, 0.534)
Er (0.953, 0.250, 0.907)
Zn (0.360, 0.250, 0.719)
Zn (0.455, 0.750, 0.909)
Zn (0.545, 0.250, 0.091)
Zn (0.640, 0.750, 0.281)

---

Record 20
Here is crystalline Nd4ErZn5 at its relaxed geometry from Alexandria. Energies are from PBE.

Values from the calculation:
The calculation puts the volume at 244.4 Å³/cell. The calculation puts the formation energy at -0.31 eV/atom.

abc: 3.648 3.648 18.362
angles: 90.00 90.00 90.00
Element x y z (fractional)
Nd (0.000, 0.000, 0.102)
Nd (0.000, 0.000, 0.305)
Nd (0.000, 0.000, 0.695)
Nd (0.000, 0.000, 0.898)
Er (0.000, 0.000, 0.500)
Zn (0.500, 0.500, 0.000)
Zn (0.500, 0.500, 0.202)
Zn (0.500, 0.500, 0.410)
Zn (0.500, 0.500, 0.590)
Zn (0.500, 0.500, 0.798)

---

Record 21
Here is crystalline Nd2ErZn9 at its relaxed geometry from Alexandria. Energies are from PBE.

Values from the calculation:
The calculation puts the volume at 227.4 Å³/cell. The calculation puts the formation energy at -0.28 eV/atom.

abc: 9.288 9.288 9.288
angles: 34.34 34.34 34.34
Element x y z (fractional)
Nd (0.140, 0.140, 0.140)
Nd (0.860, 0.860, 0.860)
Er (0.000, 0.000, 0.000)
Zn (0.076, 0.582, 0.582)
Zn (0.335, 0.335, 0.335)
Zn (0.418, 0.418, 0.924)
Zn (0.418, 0.924, 0.418)
Zn (0.500, 0.500, 0.500)
Zn (0.582, 0.076, 0.582)
Zn (0.582, 0.582, 0.076)
Zn (0.665, 0.665, 0.665)
Zn (0.924, 0.418, 0.418)

---

Record 22
Here is crystalline Nd2ErZn3 at its relaxed geometry from Alexandria. Energies are from PBE.

Values from the calculation:
The calculation puts the volume at 144.2 Å³/cell. The calculation puts the formation energy at -0.32 eV/atom.

abc: 5.135 5.135 6.316
angles: 90.00 90.00 120.00
Element x y z (fractional)
Nd (0.333, 0.667, 0.177)
Nd (0.667, 0.333, 0.823)
Er (0.000, 0.000, 0.500)
Zn (0.000, 0.000, 0.000)
Zn (0.333, 0.667, 0.665)
Zn (0.667, 0.333, 0.335)